A relaxed Fe2AsIr2 crystal. Source: Alexandria, functional GGA-PBEsol.

Geometry as extended XYZ:
```
5
Lattice="-1.7990 1.7990 5.7198 1.7990 -1.7990 5.7198 1.7990 1.7990 -5.7198" Properties=species:S:1:pos:R:3 pbc="T T T"
Fe 0.0000 0.0000 1.1448
Fe 0.0000 0.0000 10.2948
As 0.0000 0.0000 5.7198
Ir 1.7990 0.0000 2.8599
Ir 0.0000 1.7990 2.8599
```

Total moment   4.11 μB/cell
Formation energy from the elements   0.513 eV/atom
Crystal system   tetragonal
Final energy   -0.2949 Ha/atom